A plane-wave DFT calculation with PBE was carried out for a relaxed Th2ZnCo3 crystal.

CIF file:
```
data_Th2ZnCo3
_space_group_name_H-M_alt 'F m m m'
_space_group_IT_number 69
_space_group_name_Hall '-F 2 2'
_cell_length_a 7.883
_cell_length_b 8.211
_cell_length_c 14.188
_cell_angle_alpha 90.00
_cell_angle_beta 90.00
_cell_angle_gamma 90.00
loop_
_atom_site_label
_atom_site_type_symbol
_atom_site_fract_x
_atom_site_fract_y
_atom_site_fract_z
Th1 Th 0.246 0.000 0.000
Th2 Th 0.250 0.250 0.250
Zn1 Zn 0.000 0.000 0.334
Co1 Co 0.000 0.000 0.161
Co2 Co 0.000 0.240 0.080
```

## Properties
Total magnetic moment, μB/f.u.: 2.08
Energy above the lowest structure with this stoichiometry, eV per atom: 0.0457
Formation energy, kJ/mol of formula units: -110